# 1
This record from Alexandria describes Pr4Ru6O19 after structural relaxation. The functional is PBE. Values from VASP.

```
&SYSTEM
  ibrav = 0, nat = 29, ntyp = 3
/
ATOMIC_SPECIES
Pr 140.91 Pr.upf
Ru 101.07 Ru.upf
O 16.00 O.upf
CELL_PARAMETERS angstrom
-4.5081 4.5081 4.5081
4.5081 -4.5081 4.5081
4.5081 4.5081 -4.5081
ATOMIC_POSITIONS crystal
Pr 0.0000 0.0000 0.6788
Pr 0.0000 0.6788 0.0000
Pr 0.3212 0.3212 0.3212
Pr 0.6788 0.0000 0.0000
Ru 0.1370 0.6370 0.5000
Ru 0.3630 0.5000 0.8630
Ru 0.5000 0.1370 0.6370
Ru 0.5000 0.8630 0.3630
Ru 0.6370 0.5000 0.1370
Ru 0.8630 0.3630 0.5000
O 0.0000 0.0000 0.0000
O 0.0000 0.3242 0.3242
O 0.0000 0.6758 0.6758
O 0.0571 0.3694 0.7463
O 0.2537 0.6232 0.3108
O 0.3108 0.2537 0.6232
O 0.3124 0.9429 0.6892
O 0.3242 0.0000 0.3242
O 0.3242 0.3242 0.0000
O 0.3694 0.7463 0.0571
O 0.3768 0.6306 0.6876
O 0.6232 0.3108 0.2537
O 0.6306 0.6876 0.3768
O 0.6758 0.0000 0.6758
O 0.6758 0.6758 0.0000
O 0.6876 0.3768 0.6306
O 0.6892 0.3124 0.9429
O 0.7463 0.0571 0.3694
O 0.9429 0.6892 0.3124
```

=====

# 2
This record from Alexandria describes Pr2Ru2O7 after structural relaxation. The functional is PBE. Values from VASP.

```
&SYSTEM
  ibrav = 0, nat = 22, ntyp = 3
/
ATOMIC_SPECIES
Pr 140.91 Pr.upf
Ru 101.07 Ru.upf
O 16.00 O.upf
CELL_PARAMETERS angstrom
0.0000 5.2591 5.2591
5.2591 0.0000 5.2591
5.2591 5.2591 0.0000
ATOMIC_POSITIONS crystal
Pr 0.0000 0.0000 0.0000
Pr 0.0000 0.0000 0.5000
Pr 0.0000 0.5000 0.0000
Pr 0.5000 0.0000 0.0000
Ru 0.0000 0.5000 0.5000
Ru 0.5000 0.0000 0.5000
Ru 0.5000 0.5000 0.0000
Ru 0.5000 0.5000 0.5000
O 0.1250 0.1250 0.1250
O 0.1709 0.1709 0.5791
O 0.1709 0.5791 0.1709
O 0.1709 0.5791 0.5791
O 0.4209 0.4209 0.8291
O 0.4209 0.8291 0.4209
O 0.4209 0.8291 0.8291
O 0.5791 0.1709 0.1709
O 0.5791 0.1709 0.5791
O 0.5791 0.5791 0.1709
O 0.8291 0.4209 0.4209
O 0.8291 0.4209 0.8291
O 0.8291 0.8291 0.4209
O 0.8750 0.8750 0.8750
```

=====

# 3
This record from Alexandria describes Pr12Ru3O5 after structural relaxation. The functional is PBE. Values from VASP.

```
&SYSTEM
  ibrav = 0, nat = 80, ntyp = 3
/
ATOMIC_SPECIES
Pr 140.91 Pr.upf
Ru 101.07 Ru.upf
O 16.00 O.upf
CELL_PARAMETERS angstrom
-7.9147 7.9147 7.9147
7.9147 -7.9147 7.9147
7.9147 7.9147 -7.9147
ATOMIC_POSITIONS crystal
Pr 0.0250 0.2079 0.1196
Pr 0.0250 0.3171 0.9054
Pr 0.0883 0.7079 0.6829
Pr 0.0883 0.8804 0.4054
Pr 0.0946 0.6196 0.4117
Pr 0.0946 0.9750 0.6829
Pr 0.1196 0.0250 0.2079
Pr 0.1196 0.5946 0.9117
Pr 0.1829 0.2079 0.5883
Pr 0.1829 0.4750 0.5946
Pr 0.2079 0.1196 0.0250
Pr 0.2079 0.5883 0.1829
Pr 0.2921 0.3171 0.9117
Pr 0.2921 0.4750 0.3804
Pr 0.3171 0.9054 0.0250
Pr 0.3171 0.9117 0.2921
Pr 0.3804 0.2921 0.4750
Pr 0.3804 0.5883 0.9054
Pr 0.4054 0.0883 0.8804
Pr 0.4054 0.8171 0.5250
Pr 0.4117 0.0946 0.6196
Pr 0.4117 0.8171 0.7921
Pr 0.4750 0.3804 0.2921
Pr 0.4750 0.5946 0.1829
Pr 0.5250 0.4054 0.8171
Pr 0.5250 0.6196 0.7079
Pr 0.5883 0.1829 0.2079
Pr 0.5883 0.9054 0.3804
Pr 0.5946 0.1829 0.4750
Pr 0.5946 0.9117 0.1196
Pr 0.6196 0.4117 0.0946
Pr 0.6196 0.7079 0.5250
Pr 0.6829 0.0883 0.7079
Pr 0.6829 0.0946 0.9750
Pr 0.7079 0.5250 0.6196
Pr 0.7079 0.6829 0.0883
Pr 0.7921 0.4117 0.8171
Pr 0.7921 0.8804 0.9750
Pr 0.8171 0.5250 0.4054
Pr 0.8171 0.7921 0.4117
Pr 0.8804 0.4054 0.0883
Pr 0.8804 0.9750 0.7921
Pr 0.9054 0.0250 0.3171
Pr 0.9054 0.3804 0.5883
Pr 0.9117 0.1196 0.5946
Pr 0.9117 0.2921 0.3171
Pr 0.9750 0.6829 0.0946
Pr 0.9750 0.7921 0.8804
Ru 0.1250 0.2500 0.3750
Ru 0.1250 0.3750 0.7500
Ru 0.2500 0.3750 0.1250
Ru 0.2500 0.8750 0.6250
Ru 0.3750 0.1250 0.2500
Ru 0.3750 0.7500 0.1250
Ru 0.6250 0.2500 0.8750
Ru 0.6250 0.8750 0.7500
Ru 0.7500 0.1250 0.3750
Ru 0.7500 0.6250 0.8750
Ru 0.8750 0.6250 0.2500
Ru 0.8750 0.7500 0.6250
O 0.0000 0.0000 0.0000
O 0.0000 0.0000 0.5000
O 0.0000 0.5000 0.0000
O 0.0000 0.5000 0.5000
O 0.1250 0.7500 0.8750
O 0.1250 0.8750 0.2500
O 0.2500 0.1250 0.8750
O 0.2500 0.6250 0.3750
O 0.3750 0.2500 0.6250
O 0.3750 0.6250 0.7500
O 0.5000 0.0000 0.0000
O 0.5000 0.0000 0.5000
O 0.5000 0.5000 0.0000
O 0.5000 0.5000 0.5000
O 0.6250 0.3750 0.2500
O 0.6250 0.7500 0.3750
O 0.7500 0.3750 0.6250
O 0.7500 0.8750 0.1250
O 0.8750 0.1250 0.7500
O 0.8750 0.2500 0.1250
```

=====

# 4
This record from Alexandria describes PrRuO3 after structural relaxation. The functional is PBE. Values from VASP.

```
&SYSTEM
  ibrav = 0, nat = 20, ntyp = 3
/
ATOMIC_SPECIES
Pr 140.91 Pr.upf
Ru 101.07 Ru.upf
O 16.00 O.upf
CELL_PARAMETERS angstrom
5.9949 0.0000 0.0000
0.0000 7.8480 0.0000
0.0000 0.0000 5.3776
ATOMIC_POSITIONS crystal
Pr 0.0756 0.2500 0.0275
Pr 0.4244 0.7500 0.5275
Pr 0.5756 0.2500 0.4725
Pr 0.9244 0.7500 0.9725
Ru 0.0000 0.0000 0.5000
Ru 0.0000 0.5000 0.5000
Ru 0.5000 0.0000 0.0000
Ru 0.5000 0.5000 0.0000
O 0.0366 0.7500 0.3942
O 0.1975 0.5509 0.8158
O 0.1975 0.9491 0.8158
O 0.3025 0.0509 0.3158
O 0.3025 0.4491 0.3158
O 0.4634 0.2500 0.8942
O 0.5366 0.7500 0.1058
O 0.6975 0.5509 0.6842
O 0.6975 0.9491 0.6842
O 0.8025 0.0509 0.1842
O 0.8025 0.4491 0.1842
O 0.9634 0.2500 0.6058
```

=====

Sequential formation energy (no corrections) output: -51.771; -22.378; -26.814; -10.298 eV per formula unit